Entry 1:
The following is a GGA-PBE calculation of a relaxed structure of Cs2InRe, from the Alexandria database.

Cell: 8.771 8.771 8.771 Å, 90.00 90.00 90.00°
Space group Fm-3m (No. 225)
Inequivalent atoms, fractional coordinates:
Cs: 0.250 0.250 0.250 [8 per cell]
In: 0.000 0.000 0.000 [4 per cell]
Re: 0.000 0.000 0.500 [4 per cell]

Summary:
Crystal system: cubic
Energy relative to the elements, eV/atom: 1.55

Entry 2:
The following is a GGA-PBE calculation of a relaxed structure of Pu2TlAs, from the Alexandria database.

Cell: 3.571 3.571 7.895 Å, 90.00 90.00 90.00°
Space group P4/mmm (No. 123)
Inequivalent atoms, fractional coordinates:
Pu: 0.000 0.000 0.205 [2 per cell]
Tl: 0.500 0.500 0.500 [1 per cell]
As: 0.500 0.500 0.000 [1 per cell]

Summary:
Distance to the lowest polymorph of the same formula, meV per atom: 0
Crystal system: tetragonal
Energy relative to the elements, eV/atom: -0.46

Entry 3:
The following is a GGA-PBE calculation of a relaxed structure of CdB2Rh2, from the Alexandria database.

Cell: 6.710 6.710 2.707 Å, 90.00 90.00 90.00°
Space group P4/mbm (No. 127)
Inequivalent atoms, fractional coordinates:
Cd: 0.000 0.000 0.000 [2 per cell]
B: 0.138 0.362 0.500 [4 per cell]
Rh: 0.143 0.643 0.000 [4 per cell]

Summary:
Crystal system: tetragonal
Energy relative to the elements, eV/atom: 0.23

Entry 4:
The following is a GGA-PBE calculation of a relaxed structure of LiTm2Ni12P3, from the Alexandria database.

Cell: 8.3182 8.3182 11.7192 Å, 90.00 90.00 120.00°
Space group R-3m (No. 166, hexagonal axes)
Inequivalent atoms, fractional coordinates:
Li: 0.0000 0.0000 0.0000 [3 per cell]
Tm: 0.0000 0.0000 0.3519 [6 per cell]
Ni: 0.0067 0.5033 0.6832 [18 per cell]
Ni: 0.0162 0.5081 0.8853 [18 per cell]
P: 0.0000 0.5000 0.5000 [9 per cell]

Summary:
Crystal system: trigonal
Energy relative to the elements, eV/atom: -0.24

Entry 5:
The following is a GGA-PBE calculation of a relaxed structure of NaCd4Hg15, from the Alexandria database.

Cell: 5.490 5.490 17.427 Å, 90.00 90.00 90.00°
Space group P4/mmm (No. 123)
Inequivalent atoms, fractional coordinates:
Na: 0.000 0.000 0.000 [1 per cell]
Cd: 0.000 0.000 0.207 [2 per cell]
Cd: 0.000 0.000 0.402 [2 per cell]
Hg: 0.000 0.500 0.106 [4 per cell]
Hg: 0.000 0.500 0.303 [4 per cell]
Hg: 0.000 0.500 0.500 [2 per cell]
Hg: 0.500 0.500 0.000 [1 per cell]
Hg: 0.500 0.500 0.203 [2 per cell]
Hg: 0.500 0.500 0.400 [2 per cell]

Summary:
Crystal system: tetragonal
Energy relative to the elements, eV/atom: -0.01

Entry 6:
The following is a GGA-PBE calculation of a relaxed structure of LaPd4, from the Alexandria database.

Cell: 5.071 5.071 5.071 Å, 90.00 90.00 90.00°
Space group Pm-3m (No. 221)
Inequivalent atoms, fractional coordinates:
La: 0.000 0.000 0.000 [1 per cell]
Pd: 0.000 0.000 0.500 [3 per cell]
Pd: 0.500 0.500 0.500 [1 per cell]

Summary:
Crystal system: cubic
Energy relative to the elements, eV/atom: 0.73

Entry 7:
The following is a GGA-PBE calculation of a relaxed structure of LiSb4Mo, from the Alexandria database.

Cell: 8.792 8.792 8.792 Å, 90.00 90.00 90.00°
Space group F-43m (No. 216)
Inequivalent atoms, fractional coordinates:
Li: 0.000 0.000 0.000 [4 per cell]
Sb: 0.125 0.125 0.375 [16 per cell]
Mo: 0.250 0.250 0.750 [4 per cell]

Summary:
Crystal system: cubic
VASP energy, eV for the cell shown: -100.22

Entry 8:
The following is a GGA-PBE calculation of a relaxed structure of GaAgSn, from the Alexandria database.

Cell: 3.412 3.412 22.707 Å, 90.00 90.00 90.00°
Space group I4/mmm (No. 139)
Inequivalent atoms, fractional coordinates:
Ga: 0.000 0.000 0.152 [4 per cell]
Ag: 0.000 0.000 0.286 [4 per cell]
Sn: 0.000 0.000 0.430 [4 per cell]

Summary:
Crystal system: tetragonal
Energy relative to the elements, eV/atom: 0.04

Entry 9:
The following is a GGA-PBE calculation of a relaxed structure of PmDyPdPt, from the Alexandria database.

Cell: 7.092 7.092 7.092 Å, 90.00 90.00 90.00°
Space group F-43m (No. 216)
Inequivalent atoms, fractional coordinates:
Pm: 0.000 0.000 0.000 [4 per cell]
Dy: 0.000 0.000 0.500 [4 per cell]
Pd: 0.250 0.250 0.750 [4 per cell]
Pt: 0.250 0.250 0.250 [4 per cell]

Summary:
Distance to the lowest polymorph of the same formula, meV per atom: 66
Crystal system: cubic
Energy relative to the elements, eV/atom: -0.99

Entry 10:
The following is a GGA-PBE calculation of a relaxed structure of CsBiTe, from the Alexandria database.

Cell: 6.2461 6.2461 29.4531 Å, 90.00 90.00 120.00°
Space group R-3m (No. 166, hexagonal axes)
Inequivalent atoms, fractional coordinates:
Cs: 0.0000 0.0000 0.0959 [6 per cell]
Bi: 0.0000 0.0000 0.3265 [6 per cell]
Te: 0.0000 0.0000 0.2304 [6 per cell]

Summary:
Distance to the lowest polymorph of the same formula, meV per atom: 0
Crystal system: trigonal

Entry 11:
The following is a GGA-PBE calculation of a relaxed structure of Ce2AlHg, from the Alexandria database.

Cell: 7.530 7.530 7.530 Å, 90.00 90.00 90.00°
Space group Fm-3m (No. 225)
Inequivalent atoms, fractional coordinates:
Ce: 0.250 0.250 0.250 [8 per cell]
Al: 0.000 0.000 0.000 [4 per cell]
Hg: 0.000 0.000 0.500 [4 per cell]

Summary:
Distance to the lowest polymorph of the same formula, meV per atom: 102
Crystal system: cubic
Energy relative to the elements, eV/atom: -0.22

Entry 12:
The following is a GGA-PBE calculation of a relaxed structure of Na2Hf2RhSe6, from the Alexandria database.

Cell: 6.582 11.211 7.500 Å, 90.00 106.76 90.00°
Space group C2/m (No. 12)
Inequivalent atoms, fractional coordinates:
Na: 0.000 0.163 0.000 [4 per cell]
Hf: 0.000 0.323 0.500 [4 per cell]
Rh: 0.000 0.000 0.500 [2 per cell]
Se: 0.247 0.160 0.719 [8 per cell]
Se: 0.247 0.500 0.702 [4 per cell]

Summary:
Crystal system: monoclinic
VASP energy, eV for the cell shown: -125.38